1.
Li6HgAu8 | PBE-GGA | optimized geometry

a b c (Å): 7.214 7.214 7.214
angles (deg): 59.39 59.39 59.39
Fractional coordinates of all 15 atoms:
Li 0.029 0.289 0.522
Li 0.289 0.522 0.029
Li 0.478 0.971 0.711
Li 0.522 0.029 0.289
Li 0.711 0.478 0.971
Li 0.971 0.711 0.478
Hg 0.000 0.000 0.000
Au 0.138 0.834 0.645
Au 0.166 0.355 0.862
Au 0.355 0.862 0.166
Au 0.395 0.395 0.395
Au 0.605 0.605 0.605
Au 0.645 0.138 0.834
Au 0.834 0.645 0.138
Au 0.862 0.166 0.355

2.
LiHgAu | PBE-GGA | optimized geometry

a b c (Å): 4.634 4.634 2.941
angles (deg): 90.00 90.00 120.00
Fractional coordinates of all 3 atoms:
Li 0.000 0.000 0.000
Hg 0.333 0.667 0.667
Au 0.667 0.333 0.269

Output
- Relative energy among the computed polymorphs: 0.18 eV per formula unit

For each record above, in turn, the calculated ΔE_f values are -0.36; -0.27 eV/atom.
For each record above, in turn, the calculated energy values are -2.889; -2.099 eV/atom.